VASP calculation (PBE-GGA) on a geometry-optimized Li2Al2Ag7 structure.

size of the total moment	0.00	μB/cell
SG	No. 12
N(E_F)	1.71	states/eV/f.u.

a b c (Å): 5.643 7.064 5.643
angles (deg): 78.44 99.09 101.56
Fractional positions:
Ag 0.031 0.289 0.583
Ag 0.000 0.000 0.000
Ag 0.583 0.711 0.031
Ag 0.529 0.311 0.471
Ag 0.471 0.689 0.529
Ag 0.969 0.711 0.417
Ag 0.417 0.289 0.969
Al 0.823 0.500 0.823
Al 0.177 0.500 0.177
Li 0.700 0.040 0.300
Li 0.300 0.960 0.700

=====

VASP calculation (PBE-GGA) on a geometry-optimized Rb3MgV structure.

size of the total moment	5.43	μB/cell
SG	No. 221
N(E_F)	6.40	states/eV/f.u.

a b c (Å): 6.915 6.915 6.915
angles (deg): 90.00 90.00 90.00
Fractional positions:
Rb 0.500 0.000 0.000
Rb 0.000 0.500 0.000
Rb 0.000 0.000 0.500
Mg 0.500 0.500 0.500
V 0.000 0.000 0.000

=====

no.,E_form (eV per atom)
1,0.082
2,0.970